1.
Entry from Alexandria: a relaxed structure of CaSm2Ga3Pt4 (PBE).

```
CaSm2Ga3Pt4
1.0
-1.1923 3.4013 -2.0909
-3.0215 -2.1950 -1.8478
-7.3454 2.7793 8.7097
Pt Ga Sm Ca
4 3 2 1
direct
0.5000 0.0000 0.6620 Pt
0.0000 0.5000 0.3380 Pt
0.5000 0.5000 0.0000 Pt
0.0000 0.0000 0.0000 Pt
0.0000 0.0000 0.5000 Ga
0.0000 0.5000 0.1255 Ga
0.5000 0.0000 0.8745 Ga
0.5000 0.0000 0.2289 Sm
0.0000 0.5000 0.7711 Sm
0.5000 0.5000 0.5000 Ca
```

Properties
* DOS at the Fermi energy: 4.8 states/eV/cell
* VASP energy: -5.3757 eV per atom
* density: 10.8 g cm⁻³
* energy of formation from the pure elements: -0.91 eV per atom

2.
Entry from Alexandria: a relaxed structure of KLi3Np4S12 (PBE).

```
KLi3Np4S12
1.0
8.5018 0.0000 0.0000
-2.8339 8.0155 0.0000
-2.8339 -4.0078 6.9417
S Np Li K
12 4 3 1
direct
0.3045 0.1816 0.4861 S
0.8771 0.6955 0.1816 S
0.4861 0.3045 0.1816 S
0.6955 0.1816 0.8771 S
0.3045 0.8184 0.1229 S
0.1816 0.4861 0.3045 S
0.1816 0.8771 0.6955 S
0.1229 0.3045 0.8184 S
0.6955 0.8184 0.5139 S
0.8184 0.5139 0.6955 S
0.5139 0.6955 0.8184 S
0.8184 0.1229 0.3045 S
0.0000 0.5000 0.0000 Np
0.5000 0.0000 0.0000 Np
0.5000 0.5000 0.5000 Np
0.0000 0.0000 0.5000 Np
0.5000 0.0000 0.5000 Li
0.5000 0.5000 0.0000 Li
0.0000 0.5000 0.5000 Li
0.0000 0.0000 0.0000 K
```

Properties
* energy relative to the elements, uncorrected: -1.10 eV per atom
* DOS at the Fermi energy: 30.4 states/eV/cell
* VASP energy: -6.5016 eV per atom
* density: 4.9 g cm⁻³

3.
Entry from Alexandria: a relaxed structure of Dy7Bi2Pb2 (PBE).

```
Dy7Bi2Pb2
1.0
7.1022 -0.0044 -0.5201
0.0026 7.3655 0.0039
-0.9615 -0.0012 7.0560
Pb Dy Bi
2 7 2
direct
0.8163 0.5000 0.8163 Pb
0.1837 0.5000 0.1837 Pb
0.9999 0.7206 0.4998 Dy
0.5000 0.2690 0.5000 Dy
0.5002 0.7206 0.0001 Dy
0.0000 0.0000 0.0000 Dy
0.5000 0.7310 0.5000 Dy
0.0001 0.2794 0.5002 Dy
0.4998 0.2794 0.9999 Dy
0.7199 0.0001 0.2801 Bi
0.2801 0.9999 0.7199 Bi
```

Properties
* DOS at the Fermi energy: 13.5 states/eV/cell
* VASP energy: -4.4854 eV per atom
* density: 9.0 g cm⁻³
* energy of formation from the pure elements: -0.18 eV per atom

4.
Entry from Alexandria: a relaxed structure of Cd2InSn2 (PBE).

```
Cd2InSn2
1.0
-6.7128 -0.1577 -4.4608
-4.0911 -3.0042 6.2627
-0.9381 3.9307 1.2727
In Sn Cd
2 4 4
direct
0.0000 0.0000 0.0000 In
0.5000 0.5000 0.0000 In
0.3661 0.8661 0.0000 Sn
0.1339 0.3661 0.0000 Sn
0.8661 0.6339 0.0000 Sn
0.6339 0.1339 0.0000 Sn
0.6679 0.8321 0.5000 Cd
0.8321 0.3321 0.5000 Cd
0.3321 0.1679 0.5000 Cd
0.1679 0.6679 0.5000 Cd
```

Properties
* DOS at the Fermi energy: 4.0 states/eV/cell
* distance to the lowest polymorph of the same formula: 0.054 eV per atom
* VASP energy: -2.4024 eV per atom
* density: 7.0 g cm⁻³
* energy of formation from the pure elements: 0.11 eV per atom

5.
Entry from Alexandria: a relaxed structure of InMoAs2S (PBE).

```
InMoAs2S
1.0
-1.6569 -2.6810 -3.6846
5.3881 -1.3016 -1.4759
-0.1463 -3.8873 2.8942
As Mo In S
2 1 1 1
direct
0.5000 0.0000 0.0000 As
0.0000 0.0000 0.5000 As
0.0000 0.0000 0.0000 Mo
0.0000 0.5000 0.0000 In
0.5000 0.5000 0.5000 S
```

Properties
* energy relative to the elements, uncorrected: 0.48 eV per atom
* DOS at the Fermi energy: 7.0 states/eV/cell
* VASP energy: -4.9229 eV per atom
* density: 4.8 g cm⁻³

6.
Entry from Alexandria: a relaxed structure of SrTm2AlAu4 (PBE).

```
SrTm2AlAu4
1.0
-2.5919 3.7299 1.8849
-4.2711 -0.8757 2.2745
2.0619 0.0264 9.1980
Sr Au Tm Al
1 4 2 1
direct
0.0000 0.0000 0.0000 Sr
0.8765 0.8765 0.3706 Au
0.1235 0.1235 0.6294 Au
0.5979 0.5979 0.2063 Au
0.4021 0.4021 0.7937 Au
0.2324 0.2324 0.3029 Tm
0.7676 0.7676 0.6971 Tm
0.5000 0.5000 0.5000 Al
```

Properties
* DOS at the Fermi energy: 4.2 states/eV/cell
* VASP energy: -4.1580 eV per atom
* density: 10.9 g cm⁻³
* energy of formation from the pure elements: -0.72 eV per atom